Entry 1:
# Mn2InAu | Alexandria via LeMat-Bulk | PBE | relaxed
data_Mn2InAu
_cell_length_a 9.7224
_cell_length_b 3.2118
_cell_length_c 4.6513
_cell_angle_alpha 90.00
_cell_angle_beta 106.97
_cell_angle_gamma 90.00
_symmetry_space_group_name_H-M 'C 1 m 1'
_symmetry_Int_Tables_number 8
loop_
_symmetry_equiv_pos_as_xyz
'x,y,z'
'x,-y,z'
'x+1/2,y+1/2,z'
'x+1/2,-y+1/2,z'
loop_
_atom_site_label
_atom_site_type_symbol
_atom_site_fract_x
_atom_site_fract_y
_atom_site_fract_z
Mn1 Mn 0.0000 0.0000 0.0000
Mn2 Mn 0.2452 0.5000 0.2430
In1 In 0.2437 0.0000 0.7490
Au1 Au 0.4882 0.0000 0.4762
# Electronic total energy: -5.947 eV/atom



Entry 2:
# Li2ZnPt | Alexandria via LeMat-Bulk | PBE | relaxed
data_Li2ZnPt
_cell_length_a 2.9344
_cell_length_b 4.3421
_cell_length_c 8.8335
_cell_angle_alpha 90.00
_cell_angle_beta 90.00
_cell_angle_gamma 90.00
_symmetry_space_group_name_H-M 'I m m m'
_symmetry_Int_Tables_number 71
_symmetry_space_group_name_Hall '-I 2 2'
loop_
_atom_site_label
_atom_site_type_symbol
_atom_site_fract_x
_atom_site_fract_y
_atom_site_fract_z
Li1 Li 0.0000 0.0000 0.2470
Zn1 Zn 0.0000 0.5000 0.0000
Pt1 Pt 0.0000 0.5000 0.5000
# Electronic total energy: -3.254 eV/atom



Entry 3:
# Ac3Pt4Rh2 | Alexandria via LeMat-Bulk | PBE | relaxed
data_Ac3Pt4Rh2
_cell_length_a 4.4733
_cell_length_b 4.4733
_cell_length_c 25.3277
_cell_angle_alpha 90.00
_cell_angle_beta 90.00
_cell_angle_gamma 120.00
_symmetry_space_group_name_H-M 'P -6 m 2'
_symmetry_Int_Tables_number 187
_symmetry_space_group_name_Hall 'P -6 2'
loop_
_atom_site_label
_atom_site_type_symbol
_atom_site_fract_x
_atom_site_fract_y
_atom_site_fract_z
Ac1 Ac 0.0000 0.0000 0.0787
Ac2 Ac 0.0000 0.0000 0.2500
Ac3 Ac 0.0000 0.0000 0.4151
Pt1 Pt 0.3333 0.6667 0.1663
Pt2 Pt 0.3333 0.6667 0.3330
Pt3 Pt 0.3333 0.6667 0.5000
Pt4 Pt 0.6667 0.3333 0.1662
Pt5 Pt 0.6667 0.3333 0.5000
Rh1 Rh 0.3333 0.6667 0.0000
Rh2 Rh 0.6667 0.3333 0.0000
Rh3 Rh 0.6667 0.3333 0.3330
# Electronic total energy: -6.570 eV/atom



Entry 4:
# Mg17ZnCd11 | Alexandria via LeMat-Bulk | PBE | relaxed
data_Mg17ZnCd11
_cell_length_a 10.5568
_cell_length_b 16.2797
_cell_length_c 9.0807
_cell_angle_alpha 90.00
_cell_angle_beta 125.37
_cell_angle_gamma 90.00
_symmetry_space_group_name_H-M 'C 1 m 1'
_symmetry_Int_Tables_number 8
loop_
_symmetry_equiv_pos_as_xyz
'x,y,z'
'x,-y,z'
'x+1/2,y+1/2,z'
'x+1/2,-y+1/2,z'
loop_
_atom_site_label
_atom_site_type_symbol
_atom_site_fract_x
_atom_site_fract_y
_atom_site_fract_z
Mg1 Mg 0.0000 0.0000 0.0000
Mg2 Mg 0.0101 0.3453 0.9620
Mg3 Mg 0.0242 0.3360 0.3553
Mg4 Mg 0.0367 0.0000 0.6319
Mg5 Mg 0.1508 0.2014 0.6695
Mg6 Mg 0.2584 0.5000 0.0899
Mg7 Mg 0.3128 0.3617 0.3599
Mg8 Mg 0.3406 0.2996 0.0498
Mg9 Mg 0.3539 0.0000 0.3551
Mg10 Mg 0.3644 0.0000 0.7194
Mg11 Mg 0.4103 0.3433 0.7602
Zn1 Zn 0.0342 0.5000 0.1574
Cd1 Cd 0.0827 0.0883 0.3595
Cd2 Cd 0.1361 0.4078 0.7425
Cd3 Cd 0.1668 0.1972 0.1632
Cd4 Cd 0.2231 0.5000 0.5299
Cd5 Cd 0.2540 0.0919 0.9790
Cd6 Cd 0.3647 0.1959 0.5573
# Electronic total energy: -1.387 eV/atom



Entry 5:
# CsKZnHg2 | Alexandria via LeMat-Bulk | PBE | relaxed
data_CsKZnHg2
_cell_length_a 5.6638
_cell_length_b 5.6638
_cell_length_c 6.1339
_cell_angle_alpha 90.00
_cell_angle_beta 90.00
_cell_angle_gamma 90.00
_symmetry_space_group_name_H-M 'P 4/m m m'
_symmetry_Int_Tables_number 123
_symmetry_space_group_name_Hall '-P 4 2'
loop_
_atom_site_label
_atom_site_type_symbol
_atom_site_fract_x
_atom_site_fract_y
_atom_site_fract_z
Cs1 Cs 0.0000 0.0000 0.0000
K1 K 0.5000 0.5000 0.0000
Zn1 Zn 0.5000 0.5000 0.5000
Hg1 Hg 0.0000 0.5000 0.5000
# Electronic total energy: -0.801 eV/atom



Entry 6:
# PmThAl2 | Alexandria via LeMat-Bulk | PBE | relaxed
data_PmThAl2
_cell_length_a 4.4756
_cell_length_b 4.2148
_cell_length_c 6.1369
_cell_angle_alpha 90.00
_cell_angle_beta 111.30
_cell_angle_gamma 90.00
_symmetry_space_group_name_H-M 'P 1 m 1'
_symmetry_Int_Tables_number 6
loop_
_symmetry_equiv_pos_as_xyz
'x,y,z'
'x,-y,z'
loop_
_atom_site_label
_atom_site_type_symbol
_atom_site_fract_x
_atom_site_fract_y
_atom_site_fract_z
Pm1 Pm 0.0000 0.0000 0.0000
Th1 Th 0.2855 0.5000 0.5731
Al1 Al 0.5733 0.5000 0.1469
Al2 Al 0.7125 0.0000 0.4267
# Electronic total energy: -5.243 eV/atom



Entry 7:
# ZnCrMo2 | Alexandria via LeMat-Bulk | PBE | relaxed
data_ZnCrMo2
_cell_length_a 3.1421
_cell_length_b 4.2912
_cell_length_c 8.6439
_cell_angle_alpha 90.00
_cell_angle_beta 90.00
_cell_angle_gamma 90.00
_symmetry_space_group_name_H-M 'C m m 2'
_symmetry_Int_Tables_number 35
loop_
_symmetry_equiv_pos_as_xyz
'x,y,z'
'-x,-y,z'
'-x,y,z'
'x,-y,z'
'x+1/2,y+1/2,z'
'-x+1/2,-y+1/2,z'
'-x+1/2,y+1/2,z'
'x+1/2,-y+1/2,z'
loop_
_atom_site_label
_atom_site_type_symbol
_atom_site_fract_x
_atom_site_fract_y
_atom_site_fract_z
Zn1 Zn 0.0000 0.0000 0.0000
Cr1 Cr 0.0000 0.5000 0.7604
Mo1 Mo 0.0000 0.0000 0.5241
Mo2 Mo 0.0000 0.5000 0.2611
# Electronic total energy: -7.997 eV/atom



Entry 8:
# CaMgB3 | Alexandria via LeMat-Bulk | PBE | relaxed
data_CaMgB3
_cell_length_a 4.6498
_cell_length_b 4.6498
_cell_length_c 4.6498
_cell_angle_alpha 90.00
_cell_angle_beta 90.00
_cell_angle_gamma 90.00
_symmetry_space_group_name_H-M 'P m -3 m'
_symmetry_Int_Tables_number 221
_symmetry_space_group_name_Hall '-P 4 2 3'
loop_
_atom_site_label
_atom_site_type_symbol
_atom_site_fract_x
_atom_site_fract_y
_atom_site_fract_z
Ca1 Ca 0.0000 0.0000 0.0000
Mg1 Mg 0.5000 0.5000 0.5000
B1 B 0.0000 0.0000 0.5000
# Polymorph energy (0 for the lowest one): 831 meV per atom